Entry 1:
RhPb2Se | PBE | optimized geometry

Spin magnetization (μB/f.u.): 0.0
Formation energy (no corrections) (meV per atom): 65.5
D(E_F) (states/eV per cell): 4.72

Unit cell a=6.7656 b=7.6625 c=3.5629 alpha=90.00 beta=90.44 gamma=90.00
Last column: nearest neighbours and their distance in Å.
Space group C2/m (No. 12)
Inequivalent atoms, fractional coordinates:
Rh 0.0000 0.0000 0.0000 x2  8 Pb 3.11-3.12, 2 Se 3.38
Pb 0.2500 0.2500 0.5000 x4  4 Se 3.11-3.12, 4 Rh 3.11-3.12, 2 Pb 3.38
Se 0.0000 0.5000 0.0000 x2  8 Pb 3.11-3.12, 2 Rh 3.38


Entry 2:
La3SmY8 | PBE | optimized geometry

Calculated formation energy (eV/atom): 0.02
Spin magnetization (μB/f.u.): 0.0
D(E_F) (states/eV per cell): 43.86

Unit cell a=12.7586 b=11.5797 c=6.3704 alpha=90.00 beta=119.92 gamma=90.00
Last column: nearest neighbours and their distance in Å.
Space group Cm (No. 8)
Inequivalent atoms, fractional coordinates:
La 0.0000 0.0000 0.0000 x2  2 La 3.59, 9 Y 3.61-3.71, 1 Sm 3.71
La 0.3335 0.2498 0.9968 x4  10 Y 3.58-3.69, 1 La 3.59, 1 Sm 3.61
Sm 0.1642 0.5000 0.6627 x2  9 Y 3.57-3.69, 3 La 3.61-3.71
Y 0.9998 0.2505 0.6630 x4  1 Sm 3.57, 7 Y 3.58-3.69, 4 La 3.61-3.69
Y 0.9998 0.5000 0.9963 x2  8 Y 3.58-3.68, 2 La 3.59, 2 Sm 3.65-3.68
Y 0.1667 0.2519 0.3310 x4  7 Y 3.56-3.69, 1 Sm 3.58, 4 La 3.61-3.68
Y 0.1684 0.0000 0.6641 x2  4 La 3.58-3.71, 8 Y 3.60-3.72
Y 0.3319 0.5000 0.3310 x2  6 Y 3.56-3.72, 4 La 3.60-3.69, 2 Sm 3.68-3.69
Y 0.3344 0.0000 0.3322 x2  8 Y 3.58-3.69, 3 La 3.59-3.70, 1 Sm 3.65


Entry 3:
Pr2NdPb | PBE | optimized geometry

Calculated formation energy (eV/atom): 0.04
Spin magnetization (μB/f.u.): 0.0
Energy relative to the lowest polymorph listed for this composition (eV/atom): 0.388
D(E_F) (states/eV per cell): 10.68

Unit cell a=3.6535 b=3.6535 c=37.4896 alpha=90.00 beta=90.00 gamma=120.00
Last column: nearest neighbours and their distance in Å.
Space group R-3m (No. 166, hexagonal axes)
Inequivalent atoms, fractional coordinates:
Pr 0.0000 0.0000 0.0875 x6  1 Pb 3.28, 3 Nd 3.64, 6 Pr 3.65
Nd 0.0000 0.0000 0.5000 x3  6 Pr 3.64, 6 Nd 3.65
Pb 0.0000 0.0000 0.0000 x3  2 Pr 3.28, 6 Pb 3.65


Entry 4:
ZrAl2Cu2 | PBE | optimized geometry

Calculated formation energy (eV/atom): -0.17
Spin magnetization (μB/f.u.): 0.0
Energy relative to the lowest polymorph listed for this composition (eV/atom): 0.154
D(E_F) (states/eV per cell): 3.13

Unit cell a=5.3814 b=7.6286 c=4.0452 alpha=90.00 beta=90.00 gamma=90.00
Last column: nearest neighbours and their distance in Å.
Space group Pbam (No. 55)
Inequivalent atoms, fractional coordinates:
Zr 0.0000 0.0000 0.0000 x2  6 Cu 2.64-2.96
Al 0.2468 0.2533 0.5000 x4  4 Cu 2.53-2.54, 2 Al 2.69
Cu 0.0044 0.6535 0.0000 x4  1 Cu 2.34, 4 Al 2.53-2.54


Entry 5:
YSbRh2 | PBE | optimized geometry

Spin magnetization (μB/f.u.): 0.0
Formation energy (no corrections) (meV per atom): -314.5
D(E_F) (states/eV per cell): 12.11

Unit cell a=4.4106 b=4.4106 c=17.8423 alpha=90.00 beta=90.00 gamma=90.00
Last column: nearest neighbours and their distance in Å.
Space group I-42d (No. 122)
Inequivalent atoms, fractional coordinates:
Y 0.0000 0.0000 0.0000 x4  4 Rh 2.82, 4 Sb 3.12
Sb 0.0000 0.0000 0.5000 x4  4 Rh 2.64
Rh 0.1994 0.2500 0.6250 x8  2 Sb 2.64, 2 Y 2.82, 2 Rh 2.82


Entry 6:
AcNd2Y6 | PBE | optimized geometry

Calculated formation energy (eV/atom): 0.11
Spin magnetization (μB/f.u.): 0.0
Energy relative to the lowest polymorph listed for this composition (eV/atom): 0.000
D(E_F) (states/eV per cell): 57.90

Unit cell a=10.9000 b=17.8518 c=6.3545 alpha=90.00 beta=95.14 gamma=90.00
Last column: nearest neighbours and their distance in Å.
Space group C2/c (No. 15)
Inequivalent atoms, fractional coordinates:
Ac 0.0000 0.2490 0.2500 x4  10 Y 3.60-3.73
Nd 0.2505 0.0956 0.4995 x8  10 Y 3.44-3.74
Y 0.0894 0.0771 0.9923 x8  4 Y 3.38-3.50, 4 Nd 3.54-3.74, 1 Ac 3.65
Y 0.0889 0.4221 0.9935 x8  4 Y 3.40-3.50, 4 Nd 3.54-3.74, 1 Ac 3.66
Y 0.1588 0.2496 0.7719 x8  4 Y 3.36-3.50, 2 Nd 3.44-3.45, 3 Ac 3.60-3.73


Entry 7:
SiTeCl2 | PBE | optimized geometry

Spin magnetization (μB/f.u.): 0.0
Formation energy (no corrections) (meV per atom): -57.9
Energy relative to the lowest polymorph listed for this composition (eV/atom): 0.264
D(E_F) (states/eV per cell): 0.85

Unit cell a=3.2005 b=3.2005 c=11.9205 alpha=90.00 beta=90.00 gamma=90.00
Last column: nearest neighbours and their distance in Å.
Space group P4/mmm (No. 123)
Inequivalent atoms, fractional coordinates:
Si 0.0000 0.0000 0.0000 x1  8 Cl 2.76
Te 0.0000 0.0000 0.5000 x1  4 Te 3.20
Cl 0.5000 0.5000 0.1328 x2  4 Si 2.76


Entry 8:
Ba2In4Pd | PBE | optimized geometry

Calculated formation energy (eV/atom): -0.33
Spin magnetization (μB/f.u.): 0.0
D(E_F) (states/eV per cell): 9.59

Unit cell a=5.1854 b=5.1854 c=18.2163 alpha=90.00 beta=90.00 gamma=90.00
Last column: nearest neighbours and their distance in Å.
Space group I4/mmm (No. 139)
Inequivalent atoms, fractional coordinates:
Ba 0.0000 0.0000 0.1552 x4  9 In 3.57-3.84
In 0.0000 0.0000 0.3512 x4  1 Pd 2.71
In 0.0000 0.5000 0.0000 x4  2 Pd 2.59
Pd 0.0000 0.0000 0.5000 x2  6 In 2.59-2.71


Entry 9:
Th3Al9Os2 | PBE | optimized geometry

Calculated formation energy (eV/atom): -0.47
Spin magnetization (μB/f.u.): 0.0
D(E_F) (states/eV per cell): 14.85

Unit cell a=4.4102 b=9.7150 c=12.6723 alpha=90.00 beta=90.00 gamma=90.00
Last column: nearest neighbours and their distance in Å.
Space group Immm (No. 71)
Inequivalent atoms, fractional coordinates:
Th 0.0000 0.0000 0.0000 x2  12 Al 3.18-3.24
Th 0.0000 0.0000 0.2986 x4  2 Os 3.08, 10 Al 3.20-3.37
Al 0.0000 0.2837 0.1246 x8  4 Al 2.62-2.91, 2 Os 2.74
Al 0.0000 0.3567 0.3477 x8  1 Os 2.60, 3 Al 2.62-2.78
Al 0.0000 0.5000 0.0000 x2  4 Al 2.63, 4 Os 2.80
Os 0.0000 0.1771 0.5000 x4  8 Al 2.60-2.80


Entry 10:
CrSiTcSn2 | PBE | optimized geometry

Spin magnetization (μB/f.u.): 2.1
Formation energy (no corrections) (meV per atom): 873.2
D(E_F) (states/eV per cell): 3.54

Unit cell a=5.1269 b=5.1269 c=4.6465 alpha=90.00 beta=90.00 gamma=90.00
Last column: nearest neighbours and their distance in Å.
Space group P4/mmm (No. 123)
Inequivalent atoms, fractional coordinates:
Cr 0.0000 0.0000 0.0000 x1  2 Tc 2.32
Si 0.5000 0.5000 0.0000 x1  8 Sn 3.46, 4 Cr 3.63
Tc 0.0000 0.0000 0.5000 x1  2 Cr 2.32, 4 Sn 2.56
Sn 0.0000 0.5000 0.5000 x2  2 Tc 2.56


Entry 11:
SrOsPb2 | PBE | optimized geometry

Calculated formation energy (eV/atom): 0.42
Spin magnetization (μB/f.u.): 0.0
D(E_F) (states/eV per cell): 2.34

Unit cell a=3.6064 b=3.6064 c=8.1658 alpha=90.00 beta=90.00 gamma=90.00
Last column: nearest neighbours and their distance in Å.
Space group P4mm (No. 99)
Inequivalent atoms, fractional coordinates:
Sr 0.0000 0.0000 0.0000 x1  4 Os 3.30, 5 Pb 3.33-3.67, 4 Sr 3.61
Os 0.5000 0.5000 0.2564 x1  4 Pb 2.83
Pb 0.0000 0.0000 0.4076 x1  4 Os 2.83
Pb 0.5000 0.5000 0.6765 x1  8 Pb 3.36-3.61, 1 Os 3.43, 4 Sr 3.67


Entry 12:
CdAs4Os | PBE | optimized geometry

Calculated formation energy (eV/atom): 0.97
Spin magnetization (μB/f.u.): 1.0
D(E_F) (states/eV per cell): 19.92

Unit cell a=7.7303 b=7.7303 c=7.7303 alpha=90.00 beta=90.00 gamma=90.00
Last column: nearest neighbours and their distance in Å.
Space group F-43m (No. 216)
Inequivalent atoms, fractional coordinates:
Cd 0.0000 0.0000 0.0000 x4  12 As 3.21, 4 Os 3.35
As 0.1248 0.1248 0.3752 x16  6 As 2.73-2.74
Os 0.2500 0.2500 0.7500 x4  12 As 3.20, 4 Cd 3.35


Entry 13:
K2RbNa5Pb2 | PBE | optimized geometry

Calculated formation energy (eV/atom): -0.07
Spin magnetization (μB/f.u.): 0.0
D(E_F) (states/eV per cell): 9.69

Unit cell a=12.3926 b=12.3926 c=5.5162 alpha=90.00 beta=90.00 gamma=90.00
Last column: nearest neighbours and their distance in Å.
Space group P4/mbm (No. 127)
Inequivalent atoms, fractional coordinates:
K 0.1879 0.3121 0.0000 x4  3 Pb 3.72-3.73
Rb 0.0000 0.0000 0.0000 x2  8 Na 4.11, 4 K 4.51
Na 0.0000 0.5000 0.5000 x2  4 Pb 3.27, 4 Na 3.33
Na 0.0606 0.7622 0.5000 x8  2 Na 3.33-3.53, 2 Pb 3.45
Pb 0.0999 0.5999 0.0000 x4  6 Na 3.27-3.45, 1 Pb 3.50


Entry 14:
CeCd6Ag3 | PBE | optimized geometry

Calculated formation energy (eV/atom): -0.08
Spin magnetization (μB/f.u.): 1.1
D(E_F) (states/eV per cell): 22.16

Unit cell a=7.5120 b=7.3099 c=9.2860 alpha=90.00 beta=118.44 gamma=90.00
Last column: nearest neighbours and their distance in Å.
Space group P2_1/c (No. 14)
Inequivalent atoms, fractional coordinates:
Ce 0.0000 0.0000 0.0000 x2  2 Ag 3.11, 2 Cd 3.35
Cd 0.1409 0.0258 0.6720 x4  5 Cd 2.90-3.10, 4 Ag 2.91-2.98
Cd 0.2564 0.6829 0.8746 x4  2 Ag 2.79-2.84, 4 Cd 2.99-3.03
Cd 0.4720 0.1883 0.2636 x4  4 Ag 2.85-3.10, 4 Cd 2.99-3.10
Ag 0.2202 0.1914 0.4153 x4  6 Cd 2.79-3.00, 1 Ag 2.92, 1 Ce 3.11
Ag 0.5000 0.0000 0.0000 x2  8 Cd 2.84-3.10, 2 Ag 2.92


Entry 15:
AgBi3Pt | PBE | optimized geometry

Calculated formation energy (eV/atom): -0.02
Spin magnetization (μB/f.u.): 0.0
Energy relative to the lowest polymorph listed for this composition (eV/atom): 0.000
D(E_F) (states/eV per cell): 10.02

Unit cell a=10.8970 b=9.0820 c=6.9670 alpha=90.00 beta=127.59 gamma=90.00
Last column: nearest neighbours and their distance in Å.
Space group C2/m (No. 12)
Inequivalent atoms, fractional coordinates:
Ag 0.0529 0.0000 0.2450 x4  2 Pt 2.80-2.88, 1 Ag 2.86, 1 Bi 3.12
Bi 0.0892 0.5000 0.3520 x4  2 Pt 2.85-2.92, 1 Ag 3.12
Bi 0.1915 0.1942 0.7308 x8  2 Pt 2.88-2.96
Pt 0.2334 0.5000 0.8686 x4  2 Ag 2.80-2.88, 6 Bi 2.85-2.96


Entry 16:
Ce2MnRu3 | PBE | optimized geometry

Calculated formation energy (eV/atom): -0.26
Spin magnetization (μB/f.u.): 2.3
Energy relative to the lowest polymorph listed for this composition (eV/atom): 0.023
D(E_F) (states/eV per cell): 19.69

Unit cell a=5.5372 b=5.5372 c=7.9879 alpha=90.00 beta=90.00 gamma=120.00
Last column: nearest neighbours and their distance in Å.
Space group P6_3/mmc (No. 194)
Inequivalent atoms, fractional coordinates:
Ce 0.3333 0.6667 0.0667 x4  1 Ce 2.93, 9 Ru 2.99-3.13, 3 Mn 3.24
Mn 0.0000 0.0000 0.0000 x2  6 Ru 2.56
Ru 0.1671 0.3342 0.7500 x6  2 Mn 2.56, 4 Ru 2.76-2.78


Entry 17:
Mg2Sb2Te | PBE | optimized geometry

Spin magnetization (μB/f.u.): 0.0
Formation energy (no corrections) (meV per atom): -110.6
Energy relative to the lowest polymorph listed for this composition (eV/atom): 0.000
D(E_F) (states/eV per cell): 7.44

Unit cell a=8.9480 b=8.9480 c=3.2135 alpha=90.00 beta=90.00 gamma=90.00
Last column: nearest neighbours and their distance in Å.
Space group P4/mbm (No. 127)
Inequivalent atoms, fractional coordinates:
Mg 0.1614 0.3386 0.0000 x4  6 Sb 3.03-3.12, 2 Mg 3.21, 2 Te 3.36
Sb 0.1358 0.6358 0.5000 x4  6 Mg 3.03-3.12, 2 Sb 3.21
Te 0.0000 0.0000 0.0000 x2  2 Te 3.21, 4 Mg 3.36


Entry 18:
Y2HfInO | PBE | optimized geometry

Spin magnetization (μB/f.u.): 0.0
Formation energy (no corrections) (meV per atom): -1256.7
D(E_F) (states/eV per cell): 3.46

Unit cell a=4.9096 b=4.9096 c=4.3269 alpha=90.00 beta=90.00 gamma=90.00
Last column: nearest neighbours and their distance in Å.
Space group P4/mmm (No. 123)
Inequivalent atoms, fractional coordinates:
Y 0.0000 0.5000 0.0000 x2  2 O 2.45
Hf 0.0000 0.0000 0.5000 x1  2 O 2.16
In 0.5000 0.5000 0.5000 x1  8 Y 3.27, 4 Hf 3.47
O 0.0000 0.0000 0.0000 x1  2 Hf 2.16


Entry 19:
AcDyMgZn | PBE | optimized geometry

Calculated formation energy (eV/atom): -0.11
Spin magnetization (μB/f.u.): 0.0
D(E_F) (states/eV per cell): 17.88

Unit cell a=7.7010 b=7.7010 c=7.7010 alpha=90.00 beta=90.00 gamma=90.00
Last column: nearest neighbours and their distance in Å.
Space group F-43m (No. 216)
Inequivalent atoms, fractional coordinates:
Ac 0.0000 0.0000 0.0000 x4  4 Mg 3.33, 4 Zn 3.33
Dy 0.0000 0.0000 0.5000 x4  4 Mg 3.33, 4 Zn 3.33
Mg 0.2500 0.2500 0.2500 x4  4 Ac 3.33, 4 Dy 3.33
Zn 0.2500 0.2500 0.7500 x4  4 Ac 3.33, 4 Dy 3.33


Entry 20:
Ce4Hg3Au5 | PBE | optimized geometry

Calculated formation energy (eV/atom): -0.25
Spin magnetization (μB/f.u.): 4.6
D(E_F) (states/eV per cell): 59.06

Unit cell a=16.4336 b=5.1555 c=7.8716 alpha=90.00 beta=99.13 gamma=90.00
Last column: nearest neighbours and their distance in Å.
Space group C2/m (No. 12)
Inequivalent atoms, fractional coordinates:
Ce 0.1645 0.0000 0.1309 x4  5 Au 3.19-3.41, 3 Hg 3.25-3.33
Ce 0.1749 0.5000 0.5019 x4  5 Au 2.87-3.20, 1 Hg 3.13
Hg 0.0000 0.0000 0.5000 x2  2 Au 2.58
Hg 0.1335 0.5000 0.8766 x4  4 Au 2.87-3.07, 1 Ce 3.13
Au 0.0000 0.5000 0.5000 x2  2 Hg 2.58, 2 Au 2.84, 2 Ce 2.87
Au 0.0522 0.5000 0.1731 x4  2 Au 2.84-2.98, 2 Hg 2.87-3.01, 1 Ce 3.02
Au 0.2034 0.0000 0.7460 x4  4 Ce 3.01-3.20, 2 Hg 3.07


Entry 21:
ErMgInGa | PBE | optimized geometry

Calculated formation energy (eV/atom): -0.40
Spin magnetization (μB/f.u.): 0.0
Energy relative to the lowest polymorph listed for this composition (eV/atom): 0.000
D(E_F) (states/eV per cell): 2.09

Unit cell a=4.3482 b=4.4284 c=4.5685 alpha=90.00 beta=90.00 gamma=90.00
Last column: nearest neighbours and their distance in Å.
Space group Pmmm (No. 47)
Inequivalent atoms, fractional coordinates:
Er 0.0000 0.0000 0.0000 x1  4 Ga 3.10, 4 In 3.15, 4 Mg 3.18
Mg 0.0000 0.5000 0.5000 x1  4 In 3.10, 4 Ga 3.15, 4 Er 3.18
In 0.5000 0.0000 0.5000 x1  4 Mg 3.10, 4 Er 3.15, 4 Ga 3.18
Ga 0.5000 0.5000 0.0000 x1  4 Er 3.10, 4 Mg 3.15, 4 In 3.18


Entry 22:
Ca3Mg7Ga4 | PBE | optimized geometry

Calculated formation energy (eV/atom): -0.27
Spin magnetization (μB/f.u.): 0.0
D(E_F) (states/eV per cell): 12.91

Unit cell a=16.9535 b=4.5342 c=10.6495 alpha=90.00 beta=125.85 gamma=90.00
Last column: nearest neighbours and their distance in Å.
Space group C2/m (No. 12)
Inequivalent atoms, fractional coordinates:
Ca 0.0000 0.0000 0.0000 x2  6 Ga 3.37-3.39, 6 Mg 3.66-3.71
Ca 0.1956 0.5000 0.7067 x4  4 Ga 3.18-3.27, 7 Mg 3.32-3.53
Mg 0.0000 0.0000 0.5000 x2  2 Ga 2.82
Mg 0.0102 0.5000 0.2954 x4  3 Ga 2.80-2.84, 3 Mg 2.97-3.12
Mg 0.1654 0.0000 0.4238 x4  3 Ga 2.83-2.87, 2 Mg 3.12
Mg 0.1791 0.5000 0.0161 x4  4 Ga 2.79-2.86, 1 Mg 2.97
Ga 0.1146 0.0000 0.8266 x4  6 Mg 2.80-2.86
Ga 0.1626 0.5000 0.2622 x4  5 Mg 2.79-2.87


Entry 23:
AsPtSe2 | PBE | optimized geometry

Spin magnetization (μB/f.u.): 0.0
Formation energy (no corrections) (meV per atom): -16.1
D(E_F) (states/eV per cell): 4.13

Unit cell a=6.6790 b=3.8257 c=6.6092 alpha=90.00 beta=109.75 gamma=90.00
Last column: nearest neighbours and their distance in Å.
Space group C2/m (No. 12)
Inequivalent atoms, fractional coordinates:
As 0.0000 0.0000 0.0000 x2  6 Se 2.78-2.80
Pt 0.0000 0.5000 0.5000 x2  6 Se 2.63-2.64
Se 0.2433 0.0000 0.7284 x4  3 Pt 2.63-2.64, 3 As 2.78-2.80